(1)
A relaxed NaIn3Pd5 crystal. Source: Alexandria, functional PBE.

```
18
Lattice="5.6589 0.0000 0.0000 0.0000 8.0800 0.0000 0.0000 -4.0400 6.9976" Properties=species:S:1:pos:R:3 pbc="T T T"
Pd 2.8295 0.0000 4.6649
In 4.2442 -2.5800 4.4687
In 1.4147 2.9200 0.0000
Pd 1.4147 1.2556 2.1747
In 4.2442 5.1600 0.0000
In 1.4147 6.6200 2.5289
Pd 0.0000 0.0000 4.6649
In 1.4147 2.5800 4.4687
Na 2.8295 0.0000 0.0000
Pd 1.4147 -2.7844 4.8230
Pd 4.2442 2.7844 4.8230
Pd 1.4147 5.5688 0.0000
Pd 2.8295 4.0400 2.3327
Pd 0.0000 4.0400 2.3327
Pd 4.2442 2.5113 0.0000
Na 0.0000 0.0000 0.0000
In 4.2442 1.4601 2.5289
Pd 4.2442 6.8244 2.1747
```

## Properties
DFT formation energy ... -0.417 eV per atom
ρ ... 9.34 Mg/m³

(2)
A relaxed GaFeTc2 crystal. Source: Alexandria, functional PBE.

```
8
Lattice="7.0361 0.0000 0.0000 0.0000 7.0361 0.0000 3.5180 3.5180 2.4923" Properties=species:S:1:pos:R:3 pbc="T T T"
Fe 3.5180 3.5180 0.0000
Ga 7.0361 3.5180 1.2462
Ga 0.0000 0.0000 0.0000
Tc 5.2770 5.6437 1.8692
Fe 3.5180 7.0361 1.2462
Tc 2.1257 5.2770 0.6231
Tc 8.7951 8.4284 1.8692
Tc 4.9104 1.7590 0.6231
```

## Properties
DFT formation energy ... 0.520 eV per atom
ρ ... 8.66 Mg/m³

(3)
A relaxed CoReRu3 crystal. Source: Alexandria, functional PBE.

```
5
Lattice="-3.5102 -1.7364 1.7888 -0.1456 -2.9412 -3.1408 2.4887 -2.6212 2.3393" Properties=species:S:1:pos:R:3 pbc="T T T"
Ru -0.0728 -1.4706 -1.5704
Ru 1.2444 -1.3106 1.1696
Ru -1.7551 -0.8682 0.8944
Re -0.5835 -3.6494 0.4936
Co 0.0000 0.0000 0.0000
```

## Properties
Excess energy over the best structure of this formula in the dataset ... 0.0000 eV per atom
DFT formation energy ... 1.682 eV per atom
ρ ... 11.41 Mg/m³